Entry from the Open Quantum Materials Database: a relaxed structure of Sm2GdNi2B2N3 (GGA-PBE).

The structure in POSCAR format:
```
Sm2GdNi2B2N3
1.0
-1.776 1.776 10.097
1.776 -1.776 10.097
1.776 1.776 -10.097
B Gd N Ni Sm
2 1 3 2 2
direct
0.191 0.191 0.000 B
0.809 0.809 0.000 B
0.000 0.000 0.000 Gd
0.119 0.119 0.000 N
0.500 0.500 0.000 N
0.881 0.881 0.000 N
0.750 0.250 0.500 Ni
0.250 0.750 0.500 Ni
0.376 0.376 0.000 Sm
0.624 0.624 0.000 Sm
```

- DFT total energy (eV/atom) = -7.498
- symmetry = No. 139
- total magnetic moment (μB per formula unit) = 0.0